First-principles (PBE) data for a relaxed structure of Sn4PSe3, as listed in Alexandria via LeMat-Bulk.

Its formation energy from raw total energies is -230 kJ/mol of formula units.

It has space group P2/c (No. 13), with a = 7.297 Å, b = 8.374 Å, c = 7.232 Å, α = 90.00°, β = 109.71° and γ = 90.00°. The inequivalent atoms are Sn at (0.230, 0.115, 0.004), Sn at (0.246, 0.364, 0.488), P at (0.000, 0.123, 0.250), Se at (0.000, 0.374, 0.750), Se at (0.500, 0.125, 0.750) and Se at (0.500, 0.375, 0.250).

=====

First-principles (PBE) data for a relaxed structure of Tb5Th3Se8, as listed in Alexandria via LeMat-Bulk.

Its formation energy from raw total energies is -2590 kJ/mol of formula units.

It has space group R-3m (No. 166, hexagonal axes), with a = 8.1593 Å, b = 8.1593 Å, c = 20.8366 Å, α = 90.00°, β = 90.00° and γ = 120.00°. The inequivalent atoms are Tb at (0.0000, 0.0000, 0.0000), Tb at (0.0000, 0.0000, 0.5000), Tb at (0.0000, 0.5000, 0.0000), Th at (0.0000, 0.5000, 0.5000), Se at (0.0000, 0.0000, 0.2545) and Se at (0.0052, 0.5026, 0.2530).

=====

First-principles (PBE) data for a relaxed structure of MnBi, as listed in Alexandria via LeMat-Bulk.

The energy relative to the elements comes out at 317 meV/atom.

It has space group Pmmn (No. 59, origin choice 2), with a = 4.317 Å, b = 8.906 Å, c = 7.021 Å, α = 90.00°, β = 90.00° and γ = 90.00°. The inequivalent atoms are Mn at (0.250, 0.100, 0.058), Mn at (0.250, 0.250, 0.419), Bi at (0.250, 0.546, 0.683) and Bi at (0.250, 0.750, 0.152).

=====

First-principles (PBE) data for a relaxed structure of Sr8Rh3Cl, as listed in Alexandria via LeMat-Bulk.

Its formation energy from raw total energies is -502 kJ/mol of formula units.

It has space group C2/m (No. 12), with a = 14.584 Å, b = 8.836 Å, c = 8.508 Å, α = 90.00°, β = 122.72° and γ = 90.00°. The inequivalent atoms are Sr at (0.010, 0.237, 0.253), Sr at (0.244, 0.000, 0.255), Sr at (0.247, 0.000, 0.727), Rh at (0.000, 0.000, 0.000), Rh at (0.250, 0.250, 0.500) and Cl at (0.000, 0.500, 0.000).

=====

First-principles (PBE) data for a relaxed structure of Th6PtC3Se2, as listed in Alexandria via LeMat-Bulk.

Its formation energy from raw total energies is -1077 kJ/mol of formula units.

It has space group C2/m (No. 12), with a = 17.866 Å, b = 3.857 Å, c = 8.279 Å, α = 90.00°, β = 107.97° and γ = 90.00°. The inequivalent atoms are Th at (0.011, 0.000, 0.229), Th at (0.157, 0.500, 0.110), Th at (0.176, 0.500, 0.556), Pt at (0.000, 0.500, 0.500), C at (0.000, 0.500, 0.000), C at (0.166, 0.000, 0.333) and Se at (0.167, 0.000, 0.834).

=====

First-principles (PBE) data for a relaxed structure of PbSe2Cl, as listed in Alexandria via LeMat-Bulk.

Its formation energy from raw total energies is -77 kJ/mol of formula units. Its energy above the most stable polymorph in this dataset is 226 meV/atom.

It has space group Pmmm (No. 47), with a = 3.852 Å, b = 4.739 Å, c = 6.107 Å, α = 90.00°, β = 90.00° and γ = 90.00°. The inequivalent atoms are Pb at (0.000, 0.000, 0.000), Se at (0.500, 0.500, 0.193) and Cl at (0.000, 0.000, 0.500).

=====

| no. | D(E_F) (states/eV per cell) | VASP energy (eV/atom) |
| --- | --- | --- |
| 1 | 6.22 | -4.282 |
| 2 | 23.46 | -6.258 |
| 3 | 11.02 | -6.208 |
| 4 | 13.63 | -3.546 |
| 5 | 11.49 | -8.030 |
| 6 | 3.12 | -3.330 |